Entry 1:
Tl4AgSb3Se8: optimized geometry, PBE.

Calculated values
Formation energy (no corrections), eV/atom: -0.29

CIF file:
```
data_Tl4AgSb3Se8
_chemical_formula_sum 'Tl4 Ag1 Sb3 Se8'
_symmetry_space_group_name_H-M 'P 1'
_symmetry_Int_Tables_number 1
_cell_length_a 8.423
_cell_length_b 8.690
_cell_length_c 8.421
_cell_angle_alpha 118.97
_cell_angle_beta 120.01
_cell_angle_gamma 90.00
loop_
_symmetry_equiv_pos_as_xyz
'x,y,z'
loop_
_atom_site_label
_atom_site_type_symbol
_atom_site_fract_x
_atom_site_fract_y
_atom_site_fract_z
_atom_site_occupancy
Ag1 Ag 0.000 0.500 0.000 1
Tl1 Tl 0.500 0.000 0.500 1
Tl2 Tl 0.500 0.000 0.000 1
Se1 Se 0.740 0.718 0.979 1
Tl3 Tl 0.000 0.000 0.000 1
Tl4 Tl 0.000 0.000 0.500 1
Se2 Se 0.761 0.282 0.021 1
Se3 Se 0.760 0.282 0.521 1
Se4 Se 0.260 0.282 0.021 1
Sb1 Sb 0.500 0.500 0.000 1
Sb2 Sb 0.500 0.500 0.500 1
Se5 Se 0.240 0.718 0.479 1
Se6 Se 0.260 0.280 0.520 1
Se7 Se 0.740 0.720 0.480 1
Se8 Se 0.239 0.718 0.979 1
Sb3 Sb 0.000 0.500 0.500 1
```



Entry 2:
Ti2NbBi2: optimized geometry, PBE.

Calculated values
Calculated formation energy, kJ/mol of atoms: 14

CIF file:
```
data_Ti2NbBi2
_chemical_formula_sum 'Ti4 Nb2 Bi4'
_symmetry_space_group_name_H-M 'P 1'
_symmetry_Int_Tables_number 1
_cell_length_a 7.632
_cell_length_b 7.632
_cell_length_c 3.649
_cell_angle_alpha 90.00
_cell_angle_beta 90.00
_cell_angle_gamma 90.00
loop_
_symmetry_equiv_pos_as_xyz
'x,y,z'
loop_
_atom_site_label
_atom_site_type_symbol
_atom_site_fract_x
_atom_site_fract_y
_atom_site_fract_z
_atom_site_occupancy
Bi1 Bi 0.847 0.653 0.000 1
Ti1 Ti 0.857 0.357 0.500 1
Bi2 Bi 0.347 0.847 0.000 1
Ti2 Ti 0.143 0.643 0.500 1
Ti3 Ti 0.357 0.143 0.500 1
Bi3 Bi 0.153 0.347 0.000 1
Nb1 Nb 0.000 0.000 0.000 1
Bi4 Bi 0.653 0.153 0.000 1
Ti4 Ti 0.643 0.857 0.500 1
Nb2 Nb 0.500 0.500 0.000 1
```



Entry 3:
RbMg2Sn4: optimized geometry, PBE.

Calculated values
Calculated formation energy, kJ/mol of atoms: -12

CIF file:
```
data_RbMg2Sn4
_chemical_formula_sum 'Rb1 Mg2 Sn4'
_symmetry_space_group_name_H-M 'P 1'
_symmetry_Int_Tables_number 1
_cell_length_a 4.429
_cell_length_b 4.514
_cell_length_c 11.707
_cell_angle_alpha 101.12
_cell_angle_beta 100.90
_cell_angle_gamma 90.00
loop_
_symmetry_equiv_pos_as_xyz
'x,y,z'
loop_
_atom_site_label
_atom_site_type_symbol
_atom_site_fract_x
_atom_site_fract_y
_atom_site_fract_z
_atom_site_occupancy
Sn1 Sn 0.099 0.599 0.197 1
Mg1 Mg 0.813 0.813 0.626 1
Sn2 Sn 0.316 0.316 0.633 1
Mg2 Mg 0.187 0.187 0.374 1
Sn3 Sn 0.684 0.684 0.367 1
Rb1 Rb 0.500 0.000 0.000 1
Sn4 Sn 0.901 0.401 0.803 1
```



Entry 4:
NaGdAlHg: optimized geometry, PBE.

Calculated values
Calculated formation energy, kJ/mol of atoms: -18

CIF file:
```
data_NaGdAlHg
_chemical_formula_sum 'Na1 Gd1 Al1 Hg1'
_symmetry_space_group_name_H-M 'P 1'
_symmetry_Int_Tables_number 1
_cell_length_a 5.163
_cell_length_b 5.163
_cell_length_c 5.163
_cell_angle_alpha 60.00
_cell_angle_beta 60.00
_cell_angle_gamma 60.00
loop_
_symmetry_equiv_pos_as_xyz
'x,y,z'
loop_
_atom_site_label
_atom_site_type_symbol
_atom_site_fract_x
_atom_site_fract_y
_atom_site_fract_z
_atom_site_occupancy
Gd1 Gd 0.500 0.500 0.500 1
Hg1 Hg 0.750 0.750 0.750 1
Na1 Na 0.000 0.000 0.000 1
Al1 Al 0.250 0.250 0.250 1
```



Entry 5:
CuBrO2F: optimized geometry, PBE.

Calculated values
Formation energy (no corrections), eV/atom: 0.37

CIF file:
```
data_CuBrO2F
_chemical_formula_sum 'Cu1 Br1 O2 F1'
_symmetry_space_group_name_H-M 'P 1'
_symmetry_Int_Tables_number 1
_cell_length_a 3.767
_cell_length_b 3.767
_cell_length_c 5.336
_cell_angle_alpha 90.00
_cell_angle_beta 90.00
_cell_angle_gamma 90.00
loop_
_symmetry_equiv_pos_as_xyz
'x,y,z'
loop_
_atom_site_label
_atom_site_type_symbol
_atom_site_fract_x
_atom_site_fract_y
_atom_site_fract_z
_atom_site_occupancy
O1 O 0.500 0.000 0.000 1
Cu1 Cu 0.500 0.500 0.500 1
Br1 Br 0.000 0.000 0.000 1
O2 O 0.000 0.500 0.000 1
F1 F 0.000 0.000 0.500 1
```



Entry 6:
Dy4Tl5Cd: optimized geometry, PBE.

Calculated values
ΔE to the lowest computed polymorph, meV per atom: 0
Calculated formation energy, kJ/mol of atoms: -28

CIF file:
```
data_Dy4Tl5Cd
_chemical_formula_sum 'Dy4 Tl5 Cd1'
_symmetry_space_group_name_H-M 'P 1'
_symmetry_Int_Tables_number 1
_cell_length_a 5.020
_cell_length_b 6.473
_cell_length_c 9.459
_cell_angle_alpha 113.03
_cell_angle_beta 105.39
_cell_angle_gamma 90.00
loop_
_symmetry_equiv_pos_as_xyz
'x,y,z'
loop_
_atom_site_label
_atom_site_type_symbol
_atom_site_fract_x
_atom_site_fract_y
_atom_site_fract_z
_atom_site_occupancy
Tl1 Tl 0.296 0.208 0.592 1
Dy1 Dy 0.700 0.280 0.399 1
Dy2 Dy 0.088 0.825 0.177 1
Tl2 Tl 0.103 0.343 0.206 1
Dy3 Dy 0.912 0.175 0.823 1
Dy4 Dy 0.300 0.720 0.601 1
Tl3 Tl 0.500 0.500 0.000 1
Tl4 Tl 0.704 0.792 0.408 1
Tl5 Tl 0.897 0.657 0.794 1
Cd1 Cd 0.500 0.000 0.000 1
```



Entry 7:
MgTa2Ir: optimized geometry, PBE.

Calculated values
Calculated formation energy, kJ/mol of atoms: -5

CIF file:
```
data_MgTa2Ir
_chemical_formula_sum 'Mg1 Ta2 Ir1'
_symmetry_space_group_name_H-M 'P 1'
_symmetry_Int_Tables_number 1
_cell_length_a 5.070
_cell_length_b 5.070
_cell_length_c 2.862
_cell_angle_alpha 90.00
_cell_angle_beta 90.00
_cell_angle_gamma 112.43
loop_
_symmetry_equiv_pos_as_xyz
'x,y,z'
loop_
_atom_site_label
_atom_site_type_symbol
_atom_site_fract_x
_atom_site_fract_y
_atom_site_fract_z
_atom_site_occupancy
Ta1 Ta 0.500 0.500 0.000 1
Ta2 Ta 0.000 0.000 0.000 1
Ir1 Ir 0.500 0.000 0.500 1
Mg1 Mg 0.000 0.500 0.500 1
```



Entry 8:
NpCuS2: optimized geometry, PBE.

Calculated values
ΔE to the lowest computed polymorph, meV per atom: 99
Formation energy (no corrections), eV/atom: -0.84

CIF file:
```
data_NpCuS2
_chemical_formula_sum 'Np1 Cu1 S2'
_symmetry_space_group_name_H-M 'P 1'
_symmetry_Int_Tables_number 1
_cell_length_a 4.147
_cell_length_b 4.147
_cell_length_c 7.428
_cell_angle_alpha 73.79
_cell_angle_beta 73.79
_cell_angle_gamma 60.00
loop_
_symmetry_equiv_pos_as_xyz
'x,y,z'
loop_
_atom_site_label
_atom_site_type_symbol
_atom_site_fract_x
_atom_site_fract_y
_atom_site_fract_z
_atom_site_occupancy
S1 S 0.101 0.101 0.697 1
S2 S 0.899 0.899 0.303 1
Np1 Np 0.500 0.500 0.500 1
Cu1 Cu 0.000 0.000 0.000 1
```



Entry 9:
HoHfAl2: optimized geometry, PBE.

Calculated values
ΔE to the lowest computed polymorph, meV per atom: 22
Calculated formation energy, kJ/mol of atoms: -26

CIF file:
```
data_HoHfAl2
_chemical_formula_sum 'Ho1 Hf1 Al2'
_symmetry_space_group_name_H-M 'P 1'
_symmetry_Int_Tables_number 1
_cell_length_a 4.084
_cell_length_b 4.508
_cell_length_c 4.508
_cell_angle_alpha 90.00
_cell_angle_beta 90.00
_cell_angle_gamma 90.00
loop_
_symmetry_equiv_pos_as_xyz
'x,y,z'
loop_
_atom_site_label
_atom_site_type_symbol
_atom_site_fract_x
_atom_site_fract_y
_atom_site_fract_z
_atom_site_occupancy
Al1 Al 0.000 0.000 0.500 1
Al2 Al 0.000 0.500 0.000 1
Hf1 Hf 0.500 0.500 0.500 1
Ho1 Ho 0.500 0.000 0.000 1
```



Entry 10:
Na8B11C5: optimized geometry, PBE.

Calculated values
ΔE to the lowest computed polymorph, meV per atom: 37
Calculated formation energy, kJ/mol of atoms: 13

CIF file:
```
data_Na8B11C5
_chemical_formula_sum 'Na8 B11 C5'
_symmetry_space_group_name_H-M 'P 1'
_symmetry_Int_Tables_number 1
_cell_length_a 2.868
_cell_length_b 5.045
_cell_length_c 17.092
_cell_angle_alpha 90.00
_cell_angle_beta 90.00
_cell_angle_gamma 90.00
loop_
_symmetry_equiv_pos_as_xyz
'x,y,z'
loop_
_atom_site_label
_atom_site_type_symbol
_atom_site_fract_x
_atom_site_fract_y
_atom_site_fract_z
_atom_site_occupancy
Na1 Na 0.000 0.998 0.001 1
B1 B 0.000 0.667 0.626 1
B2 B 0.000 0.666 0.375 1
B3 B 0.500 0.166 0.375 1
C1 C 0.000 0.333 0.124 1
B4 B 0.500 0.154 0.875 1
C2 C 0.000 0.333 0.626 1
Na2 Na 0.000 0.998 0.749 1
B5 B 0.000 0.334 0.375 1
Na3 Na 0.500 0.500 0.748 1
Na4 Na 0.000 0.000 0.248 1
B6 B 0.500 0.834 0.375 1
Na5 Na 0.500 0.500 0.002 1
B7 B 0.500 0.821 0.875 1
Na6 Na 0.500 0.500 0.248 1
B8 B 0.000 0.361 0.875 1
C3 C 0.500 0.833 0.626 1
B9 B 0.500 0.167 0.124 1
Na7 Na 0.500 0.500 0.502 1
B10 B 0.000 0.667 0.124 1
C4 C 0.500 0.833 0.124 1
Na8 Na 0.000 0.000 0.502 1
B11 B 0.500 0.167 0.626 1
C5 C 0.000 0.665 0.875 1
```



Entry 11:
K3Y2ThTe6: optimized geometry, PBE.

Calculated values
Formation energy (no corrections), eV/atom: -1.33

CIF file:
```
data_K3Y2ThTe6
_chemical_formula_sum 'K3 Y2 Th1 Te6'
_symmetry_space_group_name_H-M 'P 1'
_symmetry_Int_Tables_number 1
_cell_length_a 7.776
_cell_length_b 7.776
_cell_length_c 8.713
_cell_angle_alpha 98.55
_cell_angle_beta 98.55
_cell_angle_gamma 120.00
loop_
_symmetry_equiv_pos_as_xyz
'x,y,z'
loop_
_atom_site_label
_atom_site_type_symbol
_atom_site_fract_x
_atom_site_fract_y
_atom_site_fract_z
_atom_site_occupancy
Te1 Te 0.929 0.592 0.787 1
Th1 Th 0.000 0.000 0.000 1
K1 K 0.500 0.500 0.500 1
K2 K 0.166 0.834 0.500 1
Y1 Y 0.667 0.333 0.000 1
Te2 Te 0.071 0.408 0.213 1
Te3 Te 0.266 0.266 0.787 1
Y2 Y 0.333 0.667 0.000 1
K3 K 0.834 0.166 0.500 1
Te4 Te 0.408 0.071 0.213 1
Te5 Te 0.592 0.929 0.787 1
Te6 Te 0.734 0.734 0.213 1
```



Entry 12:
NaFe2GeCl: optimized geometry, PBE.

Calculated values
Formation energy (no corrections), eV/atom: 0.79

CIF file:
```
data_NaFe2GeCl
_chemical_formula_sum 'Na1 Fe2 Ge1 Cl1'
_symmetry_space_group_name_H-M 'P 1'
_symmetry_Int_Tables_number 1
_cell_length_a 4.216
_cell_length_b 5.438
_cell_length_c 4.216
_cell_angle_alpha 90.00
_cell_angle_beta 90.00
_cell_angle_gamma 90.00
loop_
_symmetry_equiv_pos_as_xyz
'x,y,z'
loop_
_atom_site_label
_atom_site_type_symbol
_atom_site_fract_x
_atom_site_fract_y
_atom_site_fract_z
_atom_site_occupancy
Fe1 Fe 0.000 0.000 0.500 1
Fe2 Fe 0.500 0.000 0.000 1
Cl1 Cl 0.000 0.000 0.000 1
Ge1 Ge 0.000 0.500 0.000 1
Na1 Na 0.500 0.500 0.500 1
```